DFT (PBE-GGA) results for a relaxed structure of HOsO2F.

a b c (Å): 3.897 3.897 2.562
angles (deg): 90.00 90.00 90.00
Space group P4/mmm (No. 123)
One atom of each set of equivalent atoms:
H (0.000, 0.000, 0.000) x1
Os (0.500, 0.500, 0.500) x1
O (0.000, 0.500, 0.000) x2
F (0.000, 0.000, 0.500) x1

Calculated values
Crystal system = tetragonal
Electronic total energy = -4.960 eV per atom

DFT (PBE-GGA) results for a relaxed structure of Re7Rh.

a b c (Å): 7.812 7.812 7.812
angles (deg): 90.00 90.00 90.00
Space group Fm-3m (No. 225)
One atom of each set of equivalent atoms:
Re (0.000, 0.000, 0.000) x4
Re (0.000, 0.250, 0.250) x24
Rh (0.000, 0.000, 0.500) x4

Calculated values
Crystal system = cubic
Relative energy among the computed polymorphs = 0 kJ/mol of formula units

DFT (PBE-GGA) results for a relaxed structure of LuPuIrRh.

a b c (Å): 6.790 6.790 6.790
angles (deg): 90.00 90.00 90.00
Space group F-43m (No. 216)
One atom of each set of equivalent atoms:
Lu (0.000, 0.000, 0.000) x4
Pu (0.000, 0.000, 0.500) x4
Ir (0.250, 0.250, 0.250) x4
Rh (0.250, 0.250, 0.750) x4

Calculated values
Crystal system = cubic
Electronic total energy = -9.456 eV per atom

DFT (PBE-GGA) results for a relaxed structure of MnZn7Au4.

a b c (Å): 4.975 5.567 7.021
angles (deg): 87.22 77.02 88.57
Space group P-1 (No. 2)
One atom of each set of equivalent atoms:
Mn (0.000, 0.000, 0.000) x1
Zn (0.000, 0.500, 0.000) x1
Zn (0.215, 0.007, 0.326) x2
Zn (0.283, 0.275, 0.668) x2
Zn (0.488, 0.239, 0.002) x2
Au (0.223, 0.515, 0.316) x2
Au (0.284, 0.786, 0.669) x2

Calculated values
Crystal system = triclinic
Relative energy among the computed polymorphs = 0 kJ/mol of formula units

For each record above, in turn, the calculated total magnetic moment values are 0.3064; 0.0000; 1.1705; 0.2879 μB/atom.